This record from Alexandria via LeMat-Bulk describes a geometry-optimized TaPb2Cl structure. The functional is PBE-GGA.

a = 7.7269 Å, b = 7.7269 Å, c = 7.7269 Å
α = 156.77°, β = 144.83°, γ = 42.58°
With the nearest neighbours (Å) after each atom.
Sites, in units of the cell vectors:
Ta 0.0000 0.0000 0.0000  4 Cl 2.81, 4 Pb 3.10, 2 Ta 3.11
Pb 0.1858 0.6858 0.5000  2 Ta 3.10, 6 Pb 3.11-3.36
Pb 0.8142 0.3142 0.5000  2 Ta 3.10, 6 Pb 3.11-3.36
Cl 0.5000 0.5000 0.0000  4 Ta 2.81, 2 Cl 3.11

Values from the calculation:
As for the uncorrected formation energy: 0.35 eV/atom. The calculation puts the energy above the lowest structure with this stoichiometry at 264 meV per atom. As for the crystal system: orthorhombic. Its space group is Immm (71).